(1)
VASP calculation (meta-GGA SCAN) on a PBEsol-optimized structure of ZnCu2SnSeS3.

extended XYZ file:
```
8
Lattice="5.439 0.000 0.000 -0.014 5.442 0.000 -2.717 -2.714 5.445" Properties=species:S:1:pos:R:3 pbc="T T T"
Zn 0.000 0.000 0.000
Cu -0.136 2.760 2.609
Cu 2.591 2.601 0.043
Sn 2.694 -0.062 2.682
Se 1.163 1.391 4.117
S -1.304 -1.450 4.097
S 1.252 3.954 1.274
S 4.071 1.408 1.273
```

ΔE_f (raw): -0.50 eV/atom
D(E_F): 0.00 states/eV per cell

---

(2)
VASP calculation (meta-GGA SCAN) on a PBEsol-optimized structure of Zn3Cu6Sn3Se4S8.

extended XYZ file:
```
24
Lattice="3.875 -3.849 0.000 3.875 3.849 0.000 -3.861 0.000 16.426" Properties=species:S:1:pos:R:3 pbc="T T T"
Zn 0.000 0.000 0.000
Zn -0.029 0.000 10.817
Zn 3.826 0.000 5.397
Cu 1.942 1.818 2.566
Cu 1.954 2.046 7.988
Cu 1.958 1.926 13.389
Cu 1.942 -1.818 2.566
Cu 1.954 -2.046 7.988
Cu 1.958 -1.926 13.389
Sn 0.045 0.000 5.361
Sn 0.034 0.000 16.340
Sn 3.909 0.000 10.781
Se -2.019 0.000 14.813
Se 1.858 0.000 9.262
Se 2.069 0.000 14.800
Se 5.731 0.000 3.858
S -1.847 0.000 9.346
S 0.022 1.862 12.240
S 3.876 1.973 1.395
S 2.022 0.000 3.907
S 3.885 1.864 6.818
S 0.022 -1.862 12.240
S 3.876 -1.973 1.395
S 3.885 -1.864 6.818
```

ΔE_f (raw): -0.49 eV/atom
D(E_F): 0.51 states/eV per cell